# 1
DFT (PBE) results for a relaxed structure of MgZrMo.

The formation energy from the elements comes out at 0.71 eV per formula unit. For the density, the calculation gives 6.03 g cm⁻³. The volume is 19.4 Å³/atom. The energy is -6.753 eV/atom. The distance to the lowest polymorph of the same formula is 252 meV/atom. As for the total moment: 0.00 μB/f.u.

Geometry as POSCAR:
```
MgZrMo
1.0
3.5117 0.0000 0.0000
0.0000 3.5117 0.0000
0.0000 0.0000 9.4472
Mg Zr Mo
2 2 2
Direct
0.0000 0.0000 0.0000 Mg
0.5000 0.5000 0.5000 Mg
0.0000 0.0000 0.6913 Zr
0.5000 0.5000 0.1913 Zr
0.0000 0.0000 0.3360 Mo
0.5000 0.5000 0.8360 Mo
```

***

# 2
DFT (PBE) results for a relaxed structure of ZnSiTe2I.

For the formation energy (no corrections), the calculation gives 0.634 eV per atom. For the density, the calculation gives 5.14 g cm⁻³. The volume is 30.7 Å³/atom. The energy is -2.272 eV/atom. The distance to the lowest polymorph of the same formula is 207 meV/atom. As for the total moment: 0.00 μB/f.u.

Geometry as POSCAR:
```
ZnSiTe2I
1.0
5.3101 0.0000 0.0000
0.0000 5.3101 0.0000
0.0000 0.0000 5.4522
Zn Si Te I
1 1 2 1
Direct
0.0000 0.0000 0.0000 Zn
0.5000 0.5000 0.5000 Si
0.0000 0.5000 0.0000 Te
0.5000 0.0000 0.0000 Te
0.0000 0.0000 0.5000 I
```

***

# 3
DFT (PBE) results for a relaxed structure of Ca2LaMgRu.

The formation energy from the elements comes out at -0.09 eV per formula unit. For the density, the calculation gives 3.42 g cm⁻³. The volume is 33.5 Å³/atom. The energy is -3.979 eV/atom. As for the total moment: 0.00 μB/f.u.

Geometry as POSCAR:
```
Ca2LaMgRu
1.0
5.6604 0.0000 0.0000
0.0000 5.6604 0.0000
0.0000 0.0000 5.2221
Ca La Mg Ru
2 1 1 1
Direct
0.0000 0.5000 0.0000 Ca
0.5000 0.0000 0.0000 Ca
0.0000 0.0000 0.5000 La
0.5000 0.5000 0.5000 Mg
0.0000 0.0000 0.0000 Ru
```

***

# 4
DFT (PBE) results for a relaxed structure of Nd4Sm3Tm8.

The formation energy from the elements comes out at 5.50 eV per formula unit. For the density, the calculation gives 7.88 g cm⁻³. The volume is 33.4 Å³/atom. The energy is -4.233 eV/atom. As for the total moment: 0.00 μB/f.u.

Geometry as POSCAR:
```
Nd4Sm3Tm8
1.0
6.6963 -6.4266 0.0000
6.6963 6.4266 0.0000
-3.3789 0.0000 5.8270
Nd Sm Tm
4 3 8
Direct
0.0000 0.0000 0.0000 Nd
0.0000 0.0000 0.5000 Nd
0.0000 0.5000 0.0000 Nd
0.5000 0.0000 0.0000 Nd
0.0000 0.5000 0.5000 Sm
0.5000 0.0000 0.5000 Sm
0.5000 0.5000 0.0000 Sm
0.2557 0.7443 0.0000 Tm
0.2683 0.2683 0.5084 Tm
0.2685 0.2685 0.0298 Tm
0.3624 0.6376 0.5000 Tm
0.6376 0.3624 0.5000 Tm
0.7315 0.7315 0.9702 Tm
0.7317 0.7317 0.4916 Tm
0.7443 0.2557 0.0000 Tm
```

***

# 5
DFT (PBE) results for a relaxed structure of ZnIN2Cl.

For the formation energy (no corrections), the calculation gives 1.932 eV per atom. For the density, the calculation gives 3.56 g cm⁻³. The volume is 23.8 Å³/atom. The energy is -2.333 eV/atom. The distance to the lowest polymorph of the same formula is 455 meV/atom. As for the total moment: 2.86 μB/f.u.

Geometry as POSCAR:
```
ZnIN2Cl
1.0
4.0017 0.0000 0.0000
0.0000 4.0017 0.0000
0.0000 0.0000 7.4462
Zn I N Cl
1 1 2 1
Direct
0.0000 0.0000 0.0000 Zn
0.5000 0.5000 0.0000 I
0.0000 0.5000 0.5000 N
0.5000 0.0000 0.5000 N
0.5000 0.5000 0.5000 Cl
```

***

# 6
DFT (PBE) results for a relaxed structure of Cd5Ag3Cl12.

For the formation energy (no corrections), the calculation gives -0.754 eV per atom. For the density, the calculation gives 4.05 g cm⁻³. The volume is 26.9 Å³/atom. The energy is -2.518 eV/atom. As for the total moment: 0.00 μB/f.u.

Geometry as POSCAR:
```
Cd5Ag3Cl12
1.0
-8.1305 8.1305 8.1305
8.1305 -8.1305 8.1305
8.1305 8.1305 -8.1305
Cd Ag Cl
20 12 48
Direct
0.0000 0.0000 0.0000 Cd
0.0000 0.0000 0.5000 Cd
0.0000 0.5000 0.0000 Cd
0.0000 0.5000 0.5000 Cd
0.1250 0.7500 0.8750 Cd
0.1250 0.8750 0.2500 Cd
0.2500 0.1250 0.8750 Cd
0.2500 0.6250 0.3750 Cd
0.3750 0.2500 0.6250 Cd
0.3750 0.6250 0.7500 Cd
0.5000 0.0000 0.0000 Cd
0.5000 0.0000 0.5000 Cd
0.5000 0.5000 0.0000 Cd
0.5000 0.5000 0.5000 Cd
0.6250 0.3750 0.2500 Cd
0.6250 0.7500 0.3750 Cd
0.7500 0.3750 0.6250 Cd
0.7500 0.8750 0.1250 Cd
0.8750 0.1250 0.7500 Cd
0.8750 0.2500 0.1250 Cd
0.1250 0.2500 0.3750 Ag
0.1250 0.3750 0.7500 Ag
0.2500 0.3750 0.1250 Ag
0.2500 0.8750 0.6250 Ag
0.3750 0.1250 0.2500 Ag
0.3750 0.7500 0.1250 Ag
0.6250 0.2500 0.8750 Ag
0.6250 0.8750 0.7500 Ag
0.7500 0.1250 0.3750 Ag
0.7500 0.6250 0.8750 Ag
0.8750 0.6250 0.2500 Ag
0.8750 0.7500 0.6250 Ag
0.0393 0.2158 0.1232 Cl
0.0393 0.3236 0.9161 Cl
0.0839 0.6232 0.4074 Cl
0.0839 0.9607 0.6764 Cl
0.0926 0.7158 0.6764 Cl
0.0926 0.8768 0.4161 Cl
0.1232 0.0393 0.2158 Cl
0.1232 0.5839 0.9074 Cl
0.1764 0.2158 0.5926 Cl
0.1764 0.4607 0.5839 Cl
0.2158 0.1232 0.0393 Cl
0.2158 0.5926 0.1764 Cl
0.2842 0.3236 0.9074 Cl
0.2842 0.4607 0.3768 Cl
0.3236 0.9074 0.2842 Cl
0.3236 0.9161 0.0393 Cl
0.3768 0.2842 0.4607 Cl
0.3768 0.5926 0.9161 Cl
0.4074 0.0839 0.6232 Cl
0.4074 0.8236 0.7842 Cl
0.4161 0.0926 0.8768 Cl
0.4161 0.8236 0.5393 Cl
0.4607 0.3768 0.2842 Cl
0.4607 0.5839 0.1764 Cl
0.5393 0.4161 0.8236 Cl
0.5393 0.6232 0.7158 Cl
0.5839 0.1764 0.4607 Cl
0.5839 0.9074 0.1232 Cl
0.5926 0.1764 0.2158 Cl
0.5926 0.9161 0.3768 Cl
0.6232 0.4074 0.0839 Cl
0.6232 0.7158 0.5393 Cl
0.6764 0.0839 0.9607 Cl
0.6764 0.0926 0.7158 Cl
0.7158 0.5393 0.6232 Cl
0.7158 0.6764 0.0926 Cl
0.7842 0.4074 0.8236 Cl
0.7842 0.8768 0.9607 Cl
0.8236 0.5393 0.4161 Cl
0.8236 0.7842 0.4074 Cl
0.8768 0.4161 0.0926 Cl
0.8768 0.9607 0.7842 Cl
0.9074 0.1232 0.5839 Cl
0.9074 0.2842 0.3236 Cl
0.9161 0.0393 0.3236 Cl
0.9161 0.3768 0.5926 Cl
0.9607 0.6764 0.0839 Cl
0.9607 0.7842 0.8768 Cl
```

***

# 7
DFT (PBE) results for a relaxed structure of Fe4Tc5.

The formation energy from the elements comes out at 1.06 eV per formula unit. For the density, the calculation gives 10.19 g cm⁻³. The volume is 12.9 Å³/atom. The energy is -9.402 eV/atom. The distance to the lowest polymorph of the same formula is 22 meV/atom. As for the total moment: 0.57 μB/f.u.

Geometry as POSCAR:
```
Fe4Tc5
1.0
7.1724 0.0000 0.0000
-3.5862 6.2115 0.0000
0.0000 0.0000 5.2192
Fe Tc
8 10
Direct
0.0000 0.0000 0.0000 Fe
0.0000 0.0000 0.5000 Fe
0.0000 0.3325 0.2500 Fe
0.0000 0.6675 0.7500 Fe
0.3325 0.0000 0.2500 Fe
0.3325 0.3325 0.7500 Fe
0.6675 0.0000 0.7500 Fe
0.6675 0.6675 0.2500 Fe
0.0000 0.3278 0.7500 Tc
0.0000 0.6722 0.2500 Tc
0.3278 0.0000 0.7500 Tc
0.3278 0.3278 0.2500 Tc
0.3333 0.6667 0.0000 Tc
0.3333 0.6667 0.5000 Tc
0.6667 0.3333 0.0000 Tc
0.6667 0.3333 0.5000 Tc
0.6722 0.0000 0.2500 Tc
0.6722 0.6722 0.7500 Tc
```

***

# 8
DFT (PBE) results for a relaxed structure of KCa3Y.

The formation energy from the elements comes out at 3.13 eV per formula unit. For the density, the calculation gives 1.51 g cm⁻³. The volume is 54.5 Å³/atom. The energy is -2.088 eV/atom. The distance to the lowest polymorph of the same formula is 0 meV/atom. As for the total moment: 3.44 μB/f.u.

Geometry as POSCAR:
```
KCa3Y
1.0
6.4836 0.0000 0.0000
0.0000 6.4836 0.0000
0.0000 0.0000 6.4836
K Ca Y
1 3 1
Direct
0.0000 0.0000 0.0000 K
0.0000 0.5000 0.5000 Ca
0.5000 0.0000 0.5000 Ca
0.5000 0.5000 0.0000 Ca
0.5000 0.5000 0.5000 Y
```

***

# 9
DFT (PBE) results for a relaxed structure of Ba8Mg2Tl.

The formation energy from the elements comes out at -0.22 eV per formula unit. For the density, the calculation gives 4.13 g cm⁻³. The volume is 49.4 Å³/atom. The energy is -1.923 eV/atom. The distance to the lowest polymorph of the same formula is 54 meV/atom. As for the total moment: 0.00 μB/f.u.

Geometry as POSCAR:
```
Ba8Mg2Tl
1.0
9.8665 -3.1010 0.0000
9.8665 3.1010 0.0000
-5.5388 0.0000 8.8749
Ba Mg Tl
8 2 1
Direct
0.9999 0.9999 0.1719 Ba
0.0001 0.0001 0.8281 Ba
0.1317 0.1317 0.6316 Ba
0.3460 0.3460 0.0677 Ba
0.3460 0.3460 0.6243 Ba
0.6540 0.6540 0.3757 Ba
0.6540 0.6540 0.9323 Ba
0.8683 0.8683 0.3684 Ba
0.1964 0.1964 0.1975 Mg
0.8036 0.8036 0.8025 Mg
0.5000 0.5000 0.5000 Tl
```

***

# 10
DFT (PBE) results for a relaxed structure of CsNaAg2Cl5.

For the formation energy (no corrections), the calculation gives -1.089 eV per atom. For the density, the calculation gives 3.65 g cm⁻³. The volume is 27.7 Å³/atom. The energy is -2.990 eV/atom. As for the total moment: 0.00 μB/f.u.

Geometry as POSCAR:
```
CsNaAg2Cl5
1.0
5.0339 0.0000 0.0000
0.0000 5.0339 0.0000
0.0000 0.0000 9.8455
Cs Na Ag Cl
1 1 2 5
Direct
0.0000 0.0000 0.0000 Cs
0.0000 0.0000 0.5000 Na
0.5000 0.5000 0.2795 Ag
0.5000 0.5000 0.7205 Ag
0.0000 0.5000 0.3167 Cl
0.0000 0.5000 0.6833 Cl
0.5000 0.0000 0.3167 Cl
0.5000 0.0000 0.6833 Cl
0.5000 0.5000 0.0000 Cl
```